No. 1
Material: KRb2IrO4
Method: DFT, PBE
State: relaxed

Computed properties:
* ΔE_f (raw): -9.7 eV per formula unit
* E: -82.758 eV/cell
* calculated volume: 20.26 A^3/atom

a = 6.5872 Å, b = 6.5872 Å, c = 7.4705 Å
α = 90.00°, β = 90.00°, γ = 90.00°
With the nearest neighbours (Å) after each atom.
Space group I-4m2 (No. 119)
Symmetry-distinct sites (fractional):
K 0.0000 0.0000 0.0000 (multiplicity 2)  8 O 3.02
Rb 0.0000 0.0000 0.5000 (multiplicity 2)  8 O 3.02
Rb 0.0000 0.5000 0.7500 (multiplicity 2)  4 O 2.78
Ir 0.0000 0.5000 0.2500 (multiplicity 2)  4 O 1.88
O 0.2014 0.2986 0.2500 (multiplicity 8)  1 Ir 1.88

=====

No. 2
Material: K2Rb3IrO6
Method: DFT, PBE
State: relaxed

Computed properties:
* ΔE_f (raw): -14.0 eV per formula unit
* E: -115.369 eV/cell
* calculated volume: 18.71 A^3/atom

a = 6.5260 Å, b = 11.2140 Å, c = 6.5198 Å
α = 90.00°, β = 109.80°, γ = 90.00°
With the nearest neighbours (Å) after each atom.
Space group C2/m (No. 12)
Symmetry-distinct sites (fractional):
K 0.0000 0.1666 0.0000 (multiplicity 4)  6 O 2.73-2.75
Rb 0.0000 0.0000 0.5000 (multiplicity 2)  4 O 2.74
Rb 0.0000 0.3323 0.5000 (multiplicity 4)  4 O 2.75-2.76
Ir 0.0000 0.5000 0.0000 (multiplicity 2)  6 O 1.96
O 0.1830 0.5000 0.8162 (multiplicity 4)  1 Ir 1.96
O 0.1847 0.3767 0.1841 (multiplicity 8)  1 Ir 1.96

=====

No. 3
Material: K2Rb2IrO6
Method: DFT, PBE
State: relaxed

Computed properties:
* ΔE_f (raw): -12.1 eV per formula unit
* E: -109.739 eV/cell
* calculated volume: 19.94 A^3/atom

a = 6.6530 Å, b = 10.5754 Å, c = 6.6027 Å
α = 90.00°, β = 109.24°, γ = 90.00°
With the nearest neighbours (Å) after each atom.
Space group C2/m (No. 12)
Symmetry-distinct sites (fractional):
K 0.0000 0.1559 0.0000 (multiplicity 4)  6 O 2.66-2.77
Rb 0.0000 0.3226 0.5000 (multiplicity 4)  4 O 2.77-2.82
Ir 0.0000 0.5000 0.0000 (multiplicity 2)  6 O 1.91-1.92
O 0.1731 0.5000 0.8181 (multiplicity 4)  1 Ir 1.92
O 0.1768 0.3726 0.1748 (multiplicity 8)  1 Ir 1.91

=====

No. 4
Material: K2RbIrO4
Method: DFT, PBE
State: relaxed

Computed properties:
* ΔE_f (raw): -9.8 eV per formula unit
* E: -83.359 eV/cell
* calculated volume: 19.41 A^3/atom

a = 6.4331 Å, b = 6.4331 Å, c = 7.5050 Å
α = 90.00°, β = 90.00°, γ = 90.00°
With the nearest neighbours (Å) after each atom.
Space group I-4m2 (No. 119)
Symmetry-distinct sites (fractional):
K 0.0000 0.0000 0.0000 (multiplicity 2)  8 O 2.98
K 0.0000 0.5000 0.2500 (multiplicity 2)  4 O 2.67
Rb 0.0000 0.0000 0.5000 (multiplicity 2)  8 O 2.98
Ir 0.0000 0.5000 0.7500 (multiplicity 2)  4 O 1.88
O 0.2063 0.2937 0.7500 (multiplicity 8)  1 Ir 1.88

=====

No. 5
Material: K3Rb2IrO6
Method: DFT, PBE
State: relaxed

Computed properties:
* ΔE_f (raw): -14.1 eV per formula unit
* E: -115.781 eV/cell
* calculated volume: 18.78 A^3/atom

a = 6.6662 Å, b = 11.5325 Å, c = 6.3065 Å
α = 90.00°, β = 111.65°, γ = 90.00°
With the nearest neighbours (Å) after each atom.
Space group C2/m (No. 12)
Symmetry-distinct sites (fractional):
K 0.0000 0.0000 0.0000 (multiplicity 2)  4 O 2.64
K 0.0000 0.3447 0.0000 (multiplicity 4)  4 O 2.61-2.65
Rb 0.0000 0.1684 0.5000 (multiplicity 4)  6 O 2.81-2.87
Ir 0.0000 0.5000 0.5000 (multiplicity 2)  6 O 1.95-1.96
O 0.1781 0.5000 0.3152 (multiplicity 4)  1 Ir 1.95
O 0.1844 0.3804 0.6984 (multiplicity 8)  1 Ir 1.96

=====

No. 6
Material: K4RbIr3O12
Method: DFT, PBE
State: relaxed

Computed properties:
* ΔE_f (raw): -18.0 eV per formula unit
* E: -218.950 eV/cell
* calculated volume: 19.70 A^3/atom

a = 9.2369 Å, b = 9.2369 Å, c = 9.2369 Å
α = 90.00°, β = 90.00°, γ = 90.00°
With the nearest neighbours (Å) after each atom.
Space group Im-3 (No. 204)
Symmetry-distinct sites (fractional):
K 0.2500 0.2500 0.2500 (multiplicity 8)  6 O 2.73
Rb 0.0000 0.0000 0.0000 (multiplicity 2)  12 O 3.55
Ir 0.0000 0.0000 0.5000 (multiplicity 6)  4 O 1.82
O 0.0000 0.1376 0.3592 (multiplicity 24)  1 Ir 1.82

=====

No. 7
Material: KRe2IrO
Method: DFT, PBE
State: relaxed

Computed properties:
* ΔE_f (raw): 8.8 eV per formula unit
* E: -31.033 eV/cell
* calculated volume: 21.44 A^3/atom

a = 4.8549 Å, b = 4.8549 Å, c = 4.5492 Å
α = 90.00°, β = 90.00°, γ = 90.00°
With the nearest neighbours (Å) after each atom.
Space group P4/mmm (No. 123)
Symmetry-distinct sites (fractional):
K 0.0000 0.0000 0.0000 (multiplicity 1)  8 Re 3.33, 4 O 3.43
Re 0.0000 0.5000 0.5000 (multiplicity 2)  2 Ir 2.43
Ir 0.5000 0.5000 0.5000 (multiplicity 1)  2 O 2.27, 4 Re 2.43
O 0.5000 0.5000 0.0000 (multiplicity 1)  2 Ir 2.27

=====

No. 8
Material: KReIrO6
Method: DFT, PBE
State: relaxed

Computed properties:
* ΔE_f (raw): -11.7 eV per formula unit
* E: -63.851 eV/cell
* calculated volume: 16.12 A^3/atom

a = 5.3532 Å, b = 5.3532 Å, c = 5.8450 Å
α = 90.00°, β = 90.00°, γ = 120.00°
With the nearest neighbours (Å) after each atom.
Space group P312 (No. 149)
Symmetry-distinct sites (fractional):
K 0.0000 0.0000 0.0000 (multiplicity 1)  6 O 2.80
Re 0.3333 0.6667 0.5000 (multiplicity 1)  6 O 1.92
Ir 0.6667 0.3333 0.5000 (multiplicity 1)  6 O 2.00
O 0.0108 0.3948 0.6792 (multiplicity 6)  1 Re 1.92, 1 Ir 2.00

=====

No. 9
Material: K2IrRh2O6
Method: DFT, PBE
State: relaxed

Computed properties:
* ΔE_f (raw): -10.9 eV per formula unit
* E: -132.893 eV/cell
* calculated volume: 14.26 A^3/atom

a = 5.5278 Å, b = 9.5504 Å, c = 6.2258 Å
α = 90.00°, β = 107.39°, γ = 90.00°
With the nearest neighbours (Å) after each atom.
Space group C2/m (No. 12)
Symmetry-distinct sites (fractional):
K 0.0000 0.1680 0.0000 (multiplicity 4)  6 O 2.72-2.74
Ir 0.0000 0.0000 0.5000 (multiplicity 2)  6 O 2.06-2.07
Rh 0.0000 0.3340 0.5000 (multiplicity 4)  6 O 2.08
O 0.2201 0.1656 0.6605 (multiplicity 8)  1 Ir 2.06, 2 Rh 2.08
O 0.2232 0.5000 0.6627 (multiplicity 4)  1 Ir 2.07, 2 Rh 2.08

=====

No. 10
Material: KIr2RhO8
Method: DFT, PBE
State: relaxed

Computed properties:
* ΔE_f (raw): -7.5 eV per formula unit
* E: -73.294 eV/cell
* calculated volume: 16.81 A^3/atom

a = 5.0485 Å, b = 5.0485 Å, c = 9.1370 Å
α = 90.00°, β = 90.00°, γ = 120.00°
With the nearest neighbours (Å) after each atom.
Space group P-3 (No. 147)
Symmetry-distinct sites (fractional):
K 0.0000 0.0000 0.0000 (multiplicity 1)  6 O 3.02
Ir 0.3333 0.6667 0.7162 (multiplicity 2)  4 O 1.79-1.86
Rh 0.0000 0.0000 0.5000 (multiplicity 1)  6 O 2.01
O 0.0105 0.3305 0.6259 (multiplicity 6)  1 Ir 1.86, 1 Rh 2.01
O 0.3333 0.6667 0.9116 (multiplicity 2)  1 Ir 1.79

=====

No. 11
Material: KIrRhO6
Method: DFT, PBE
State: relaxed

Computed properties:
* ΔE_f (raw): -7.7 eV per formula unit
* E: -54.746 eV/cell
* calculated volume: 15.94 A^3/atom

a = 5.3216 Å, b = 5.3216 Å, c = 5.8500 Å
α = 90.00°, β = 90.00°, γ = 120.00°
With the nearest neighbours (Å) after each atom.
Space group P312 (No. 149)
Symmetry-distinct sites (fractional):
K 0.0000 0.0000 0.0000 (multiplicity 1)  6 O 2.79
Ir 0.6667 0.3333 0.5000 (multiplicity 1)  6 O 1.93
Rh 0.3333 0.6667 0.5000 (multiplicity 1)  6 O 1.98
O 0.3941 0.0071 0.6812 (multiplicity 6)  1 Ir 1.93, 1 Rh 1.98

=====

No. 12
Material: K3IrRh2O6
Method: DFT, PBE
State: relaxed

Computed properties:
* ΔE_f (raw): -12.0 eV per formula unit
* E: -137.273 eV/cell
* calculated volume: 13.22 A^3/atom

a = 5.6761 Å, b = 9.8320 Å, c = 5.9930 Å
α = 90.00°, β = 108.40°, γ = 90.00°
With the nearest neighbours (Å) after each atom.
Space group C2/m (No. 12)
Symmetry-distinct sites (fractional):
K 0.0000 0.0000 0.0000 (multiplicity 2)  6 O 2.68-2.69
K 0.0000 0.3332 0.0000 (multiplicity 4)  6 O 2.68-2.69
Ir 0.0000 0.5000 0.5000 (multiplicity 2)  6 O 2.11
Rh 0.0000 0.1667 0.5000 (multiplicity 4)  6 O 2.12
O 0.2213 0.3340 0.6659 (multiplicity 8)  1 Ir 2.11, 2 Rh 2.12
O 0.2234 0.0000 0.6659 (multiplicity 4)  1 Ir 2.11, 2 Rh 2.12